A relaxed structure of Ca2ZnIn6Pt. Source: the Alexandria database, functional GGA-PBE.

VASP energy in eV/atom: -2.873
Density in kg/m3: 5902
Formation enthalpy at 0 K in eV per atom: -0.098
Symmetry: No. 225

Cell lengths 7.4270, 7.4270, 7.4270 Å; angles 60.00, 60.00, 60.00 degrees
With the nearest neighbours (Å) after each atom.
Atoms (fractional coordinates):
1 Ca 0.2500 0.2500 0.2500  12 In 3.71
2 Ca 0.7500 0.7500 0.7500  12 In 3.71
3 Zn 0.0000 0.0000 0.0000  6 In 2.60
4 In 0.2477 0.2477 0.7523  1 Zn 2.60, 1 Pt 2.65
5 In 0.2477 0.7523 0.2477  1 Zn 2.60, 1 Pt 2.65
6 In 0.2477 0.7523 0.7523  1 Zn 2.60, 1 Pt 2.65
7 In 0.7523 0.2477 0.2477  1 Zn 2.60, 1 Pt 2.65
8 In 0.7523 0.2477 0.7523  1 Zn 2.60, 1 Pt 2.65
9 In 0.7523 0.7523 0.2477  1 Zn 2.60, 1 Pt 2.65
10 Pt 0.5000 0.5000 0.5000  6 In 2.65